[1]
VASP calculation (PBE) on a relaxed KErInSe3 crystal.

```
data_KErInSe3
_chemical_formula_sum 'K4 Er4 In4 Se12'
_symmetry_space_group_name_H-M 'C m c m'
_symmetry_Int_Tables_number 63
_symmetry_space_group_name_Hall '-C 2c 2'
_cell_length_a 4.186
_cell_length_b 15.996
_cell_length_c 11.619
_cell_angle_alpha 90.00
_cell_angle_beta 90.00
_cell_angle_gamma 90.00
loop_
_atom_site_label
_atom_site_fract_x
_atom_site_fract_y
_atom_site_fract_z
_atom_site_occupancy
K1 0.000 0.202 0.250 1
Er1 0.000 0.500 0.000 1
In1 0.000 0.093 0.750 1
Se1 0.000 0.122 0.514 1
Se2 0.000 0.477 0.750 1
```

Its energy is -103.06 eV/cell. Its crystal system is orthorhombic.

=====

[2]
VASP calculation (PBE) on a relaxed KHoInTe3 crystal.

```
data_KHoInTe3
_chemical_formula_sum 'K4 Ho4 In4 Te12'
_symmetry_space_group_name_H-M 'C m c m'
_symmetry_Int_Tables_number 63
_symmetry_space_group_name_Hall '-C 2c 2'
_cell_length_a 4.652
_cell_length_b 16.117
_cell_length_c 11.888
_cell_angle_alpha 90.00
_cell_angle_beta 90.00
_cell_angle_gamma 90.00
loop_
_atom_site_label
_atom_site_fract_x
_atom_site_fract_y
_atom_site_fract_z
_atom_site_occupancy
K1 0.000 0.240 0.250 1
Ho1 0.000 0.000 0.000 1
In1 0.000 0.464 0.750 1
Te1 0.000 0.077 0.750 1
Te2 0.000 0.371 0.536 1
```

Its energy is -92.31 eV/cell. Its crystal system is orthorhombic.

=====

[3]
VASP calculation (PBE) on a relaxed SmPaSb crystal.

```
data_SmPaSb
_chemical_formula_sum 'Sm4 Pa4 Sb4'
_symmetry_space_group_name_H-M 'F -4 3 m'
_symmetry_Int_Tables_number 216
_symmetry_space_group_name_Hall 'F -4 2 3'
_cell_length_a 7.147
_cell_length_b 7.147
_cell_length_c 7.147
_cell_angle_alpha 90.00
_cell_angle_beta 90.00
_cell_angle_gamma 90.00
loop_
_atom_site_label
_atom_site_fract_x
_atom_site_fract_y
_atom_site_fract_z
_atom_site_occupancy
Sm1 0.000 0.000 0.000 1
Pa1 0.250 0.250 0.750 1
Sb1 0.250 0.250 0.250 1
```

Its crystal system is cubic. As for the relative energy among the computed polymorphs: 0 meV per atom.

=====

Number 1: M_tot 0.02 μB per formula unit. Number 2: M_tot 0.01 μB per formula unit. Number 3: M_tot 0.18 μB per formula unit.